# 1
A relaxed HfVGe2Ir crystal. Source: Alexandria, functional PBE.

Cell and atoms, written as POSCAR:
```
HfVGe2Ir
1.0
5.012 0.000 0.000
0.000 5.012 0.000
0.000 0.000 4.813
Hf V Ge Ir
1 1 2 1
Cartesian
0.000 0.000 0.000
2.506 2.506 2.407
0.000 2.506 0.000
2.506 0.000 0.000
0.000 0.000 2.407
```

Density, g/cm³: 7.79
Energy of formation, eV per formula unit: 6.5
Crystal system: tetragonal
Symmetry: P4/mmm (123)
Magnetization, μB per cell: 0.127
VASP energy, eV per atom: -6.143

# 2
A relaxed Mg4Pd15Pb crystal. Source: Alexandria, functional PBE.

Cell and atoms, written as POSCAR:
```
Mg4Pd15Pb
1.0
4.011 0.000 0.000
0.000 4.011 0.000
0.000 0.000 19.864
Mg Pd Pb
4 15 1
Cartesian
0.000 0.000 1.954
0.000 0.000 5.868
0.000 0.000 13.995
0.000 0.000 17.910
0.000 2.005 0.000
0.000 2.005 3.897
0.000 2.005 7.814
0.000 2.005 12.050
0.000 2.005 15.966
2.005 0.000 0.000
2.005 0.000 3.897
2.005 0.000 7.814
2.005 0.000 12.050
2.005 0.000 15.966
2.005 2.005 1.943
2.005 2.005 5.848
2.005 2.005 9.932
2.005 2.005 14.016
2.005 2.005 17.921
0.000 0.000 9.932
```

Density, g/cm³: 9.88
Energy of formation, eV per formula unit: -8.7
Crystal system: tetragonal
Symmetry: P4/mmm (123)
Magnetization, μB per cell: 0.000
VASP energy, eV per atom: -4.832

# 3
A relaxed TmHCl3 crystal. Source: Alexandria, functional PBE.

Cell and atoms, written as POSCAR:
```
TmHCl3
1.0
6.854 0.000 0.000
3.423 5.938 0.000
3.415 1.967 7.944
Tm H Cl
2 2 6
Cartesian
0.000 0.000 0.000
6.842 3.947 7.932
6.842 3.966 3.701
10.267 5.901 4.231
4.693 3.701 6.454
5.571 6.185 1.479
7.705 5.931 6.457
5.569 1.742 1.476
8.126 2.205 6.456
9.412 3.954 1.475
```

Density, g/cm³: 2.84
Energy above the lowest structure with this stoichiometry, eV per formula unit: 2.10
Crystal system: triclinic
Symmetry: P1 (1)
Magnetization, μB per cell: 2.000
VASP energy, eV per atom: -4.056

# 4
A relaxed V6ReW12 crystal. Source: Alexandria, functional PBE.

Cell and atoms, written as POSCAR:
```
V6ReW12
1.0
6.014 3.472 2.376
-6.014 3.472 2.376
0.000 -6.944 2.376
V Re W
6 1 12
Cartesian
-1.811 -2.428 2.367
-1.197 2.782 2.367
-3.008 0.354 4.760
3.008 -0.354 2.367
1.197 -2.782 4.760
1.811 2.428 4.760
0.000 0.000 0.000
-3.892 1.535 2.371
0.617 -4.138 2.371
-1.599 0.158 2.354
-3.275 -2.603 4.756
0.662 -1.464 2.354
0.937 1.305 2.354
-0.937 -1.305 4.774
-0.662 1.464 4.774
3.275 2.603 2.371
1.599 -0.158 4.774
-0.617 4.138 4.756
3.892 -1.535 4.756
```

Density, g/cm³: 15.05
Energy of formation, eV per formula unit: 6.5
Crystal system: trigonal
Symmetry: R-3 (148)
Magnetization, μB per cell: 0.000
VASP energy, eV per atom: -11.376

# 5
A relaxed Pm2Tm7Sc2 crystal. Source: Alexandria, functional PBE.

Cell and atoms, written as POSCAR:
```
Pm2Tm7Sc2
1.0
6.491 0.000 0.000
3.094 5.760 0.000
2.626 1.531 8.896
Pm Tm Sc
2 7 2
Cartesian
1.173 1.145 0.261
11.038 6.146 8.635
3.441 3.994 6.105
5.450 3.807 1.178
4.142 0.728 2.542
6.106 3.645 4.448
8.069 6.563 6.354
6.761 3.484 7.719
8.770 3.297 2.791
1.880 1.247 5.614
10.331 6.044 3.282
```

Density, g/cm³: 7.80
Energy of formation, eV per formula unit: 1.6
Energy above the lowest structure with this stoichiometry, eV per formula unit: 0.00
Crystal system: triclinic
Symmetry: P-1 (2)
Magnetization, μB per cell: 0.000
VASP energy, eV per atom: -4.713

# 6
A relaxed YErLu2 crystal. Source: Alexandria, functional PBE.

Cell and atoms, written as POSCAR:
```
YErLu2
1.0
0.000 3.953 3.953
3.953 0.000 3.953
3.953 3.953 0.000
Y Er Lu
1 1 2
Cartesian
0.000 0.000 0.000
3.953 3.953 3.953
1.976 1.976 1.976
5.929 5.929 5.929
```

Density, g/cm³: 8.15
Energy of formation, eV per formula unit: 0.5
Energy above the lowest structure with this stoichiometry, eV per formula unit: 0.37
Crystal system: cubic
Symmetry: Fm-3m (225)
Magnetization, μB per cell: 0.000
VASP energy, eV per atom: -4.891

# 7
A relaxed BeNbCr3 crystal. Source: Alexandria, functional PBE.

Cell and atoms, written as POSCAR:
```
BeNbCr3
1.0
4.021 0.000 0.000
0.000 4.021 0.000
0.000 0.000 4.021
Be Nb Cr
1 1 3
Cartesian
0.000 0.000 0.000
2.011 2.011 2.011
0.000 0.000 2.011
0.000 2.011 0.000
2.011 0.000 0.000
```

Density, g/cm³: 6.59
Energy of formation, eV per formula unit: 3.5
Energy above the lowest structure with this stoichiometry, eV per formula unit: 0.00
Crystal system: cubic
Symmetry: Pm-3m (221)
Magnetization, μB per cell: 1.166
VASP energy, eV per atom: -7.825

# 8
A relaxed KNa3Au crystal. Source: Alexandria, functional PBE.

Cell and atoms, written as POSCAR:
```
KNa3Au
1.0
6.200 0.000 0.000
0.000 6.200 0.000
0.000 0.000 6.200
K Na Au
1 3 1
Cartesian
0.000 0.000 0.000
0.000 0.000 3.100
0.000 3.100 0.000
3.100 0.000 0.000
3.100 3.100 3.100
```

Density, g/cm³: 2.13
Energy of formation, eV per formula unit: 3.0
Energy above the lowest structure with this stoichiometry, eV per formula unit: 3.65
Crystal system: cubic
Symmetry: Pm-3m (221)
Magnetization, μB per cell: 0.000
VASP energy, eV per atom: -1.068